No. 1
## VAsRu2 (GGA-PBE)

Data for an optimized crystal structure of VAsRu2.

Cell lengths 3.0334, 3.0334, 6.1608 Å; angles 90.00, 90.00, 90.00 degrees
Element x y z (fractional)
Ru (0.0000, 0.0000, 0.7435)
Ru (0.0000, 0.0000, 0.2565)
As (0.5000, 0.5000, 0.0000)
V (0.5000, 0.5000, 0.5000)

Values from the calculation:
Symmetry: P4/mmm (123)
DFT total energy in eV/atom: -8.22

---

No. 2
## Al2ReAs (GGA-PBE)

Data for an optimized crystal structure of Al2ReAs.

Cell lengths 4.4689, 4.4689, 4.4689 Å; angles 60.00, 60.00, 60.00 degrees
Element x y z (fractional)
Re (0.5000, 0.5000, 0.5000)
As (0.0000, 0.0000, 0.0000)
Al (0.2500, 0.2500, 0.2500)
Al (0.7500, 0.7500, 0.7500)

Values from the calculation:
Symmetry: Fm-3m (225)
DFT total energy in eV/atom: -5.82

---

No. 3
## Cs12Ag3Au5 (GGA-PBE)

Data for an optimized crystal structure of Cs12Ag3Au5.

Cell lengths 18.8510, 18.8510, 18.8510 Å; angles 109.47, 109.47, 109.47 degrees
Element x y z (fractional)
Au (0.1250, 0.3750, 0.2500)
Au (0.8750, 0.6250, 0.7500)
Au (0.0000, 0.0000, 0.5000)
Au (0.5000, 0.0000, 0.5000)
Au (0.7500, 0.1250, 0.8750)
Au (0.0000, 0.5000, 0.5000)
Au (0.0000, 0.5000, 0.0000)
Au (0.3750, 0.2500, 0.1250)
Au (0.5000, 0.5000, 0.0000)
Au (0.5000, 0.0000, 0.0000)
Au (0.7500, 0.6250, 0.3750)
Au (0.1250, 0.7500, 0.3750)
Au (0.3750, 0.1250, 0.7500)
Au (0.2500, 0.8750, 0.1250)
Au (0.0000, 0.0000, 0.0000)
Au (0.5000, 0.5000, 0.5000)
Au (0.6250, 0.7500, 0.8750)
Au (0.6250, 0.8750, 0.2500)
Au (0.8750, 0.2500, 0.6250)
Au (0.2500, 0.3750, 0.6250)
Ag (0.7500, 0.3750, 0.1250)
Ag (0.7500, 0.8750, 0.6250)
Ag (0.6250, 0.3750, 0.7500)
Ag (0.3750, 0.7500, 0.6250)
Ag (0.2500, 0.1250, 0.3750)
Ag (0.6250, 0.2500, 0.3750)
Ag (0.2500, 0.6250, 0.8750)
Ag (0.1250, 0.8750, 0.7500)
Ag (0.8750, 0.1250, 0.2500)
Ag (0.1250, 0.2500, 0.8750)
Ag (0.3750, 0.6250, 0.2500)
Ag (0.8750, 0.7500, 0.1250)
Cs (0.6286, 0.5845, 0.9108)
Cs (0.4108, 0.2823, 0.3263)
Cs (0.6286, 0.0440, 0.2177)
Cs (0.2177, 0.5440, 0.6286)
Cs (0.8263, 0.9108, 0.2823)
Cs (0.1737, 0.0845, 0.9560)
Cs (0.5845, 0.6286, 0.4108)
Cs (0.0440, 0.4155, 0.8263)
Cs (0.0892, 0.1737, 0.2177)
Cs (0.2823, 0.4108, 0.8263)
Cs (0.4155, 0.0440, 0.3263)
Cs (0.1286, 0.7177, 0.5440)
Cs (0.9108, 0.0845, 0.6286)
Cs (0.0845, 0.9108, 0.1286)
Cs (0.3714, 0.9560, 0.7823)
Cs (0.3263, 0.5440, 0.4155)
Cs (0.4560, 0.7823, 0.8714)
Cs (0.2823, 0.8714, 0.9560)
Cs (0.1286, 0.4108, 0.0845)
Cs (0.0845, 0.1737, 0.4560)
Cs (0.5845, 0.9560, 0.6737)
Cs (0.4560, 0.6737, 0.0845)
Cs (0.4155, 0.3714, 0.5892)
Cs (0.9108, 0.8263, 0.7823)
Cs (0.5892, 0.8714, 0.4155)
Cs (0.3263, 0.7823, 0.4108)
Cs (0.9155, 0.0892, 0.8714)
Cs (0.1737, 0.0892, 0.7177)
Cs (0.5440, 0.3263, 0.9155)
Cs (0.9560, 0.3714, 0.2823)
Cs (0.4108, 0.1286, 0.5845)
Cs (0.7177, 0.5892, 0.1737)
Cs (0.5892, 0.7177, 0.6737)
Cs (0.6737, 0.4560, 0.5845)
Cs (0.9560, 0.5845, 0.1737)
Cs (0.8714, 0.5892, 0.9155)
Cs (0.6737, 0.2177, 0.5892)
Cs (0.5440, 0.2177, 0.1286)
Cs (0.2177, 0.6737, 0.0892)
Cs (0.0440, 0.6286, 0.7177)
Cs (0.0892, 0.9155, 0.3714)
Cs (0.3714, 0.4155, 0.0892)
Cs (0.8263, 0.9155, 0.0440)
Cs (0.9155, 0.8263, 0.5440)
Cs (0.8714, 0.2823, 0.4560)
Cs (0.7823, 0.4560, 0.3714)
Cs (0.7823, 0.3263, 0.9108)
Cs (0.7177, 0.1286, 0.0440)

Values from the calculation:
Symmetry: Ia-3d (230)
DFT total energy in eV/atom: -1.84

---

No. 4
## KSr3Cu (GGA-PBE)

Data for an optimized crystal structure of KSr3Cu.

Cell lengths 6.2208, 6.2208, 6.2208 Å; angles 90.00, 90.00, 90.00 degrees
Element x y z (fractional)
Cu (0.0000, 0.0000, 0.0000)
Sr (0.5000, 0.0000, 0.0000)
Sr (0.0000, 0.5000, 0.0000)
Sr (0.0000, 0.0000, 0.5000)
K (0.5000, 0.5000, 0.5000)

Values from the calculation:
Symmetry: Pm-3m (221)
DFT total energy in eV/atom: -2.03

---

no.,total magnetization (μB per formula unit)
1,0.12
2,0.00
3,0.57
4,0.00